Record 1
Below is Tb4Sm2Cd after structural relaxation, with properties calculated at the PBE-GGA level.

Unit cell a=17.022 b=3.593 c=8.249 alpha=90.00 beta=117.56 gamma=90.00
Space group C2/m (No. 12)
One atom of each set of equivalent atoms:
Tb (0.059, 0.000, 0.236) (multiplicity 4)
Tb (0.144, 0.500, 0.968) (multiplicity 4)
Sm (0.212, 0.500, 0.628) (multiplicity 4)
Cd (0.000, 0.500, 0.500) (multiplicity 2)

Values from the calculation:
* D(E_F): 20.0 states/eV/cell
* size of the total moment: 0.0 μB per formula unit
* density: 7.79 g cm⁻³
* crystal system: monoclinic
* E_form: 0.002 eV per atom

---

Record 2
Below is Pr6GeAs3Se2 after structural relaxation, with properties calculated at the PBE-GGA level.

Unit cell a=18.758 b=4.301 c=8.628 alpha=90.00 beta=103.21 gamma=90.00
Space group C2/m (No. 12)
One atom of each set of equivalent atoms:
Pr (0.001, 0.000, 0.252) (multiplicity 4)
Pr (0.164, 0.500, 0.090) (multiplicity 4)
Pr (0.166, 0.500, 0.577) (multiplicity 4)
Ge (0.000, 0.500, 0.500) (multiplicity 2)
As (0.000, 0.500, 0.000) (multiplicity 2)
As (0.168, 0.000, 0.333) (multiplicity 4)
Se (0.168, 0.000, 0.836) (multiplicity 4)

Values from the calculation:
* D(E_F): 4.5 states/eV/cell
* size of the total moment: 0.0 μB per formula unit
* density: 6.38 g cm⁻³
* crystal system: monoclinic
* uncorrected formation energy: -1.56 eV per atom

---

Record 3
Below is Zn2Cu8Pt after structural relaxation, with properties calculated at the PBE-GGA level.

Unit cell a=7.514 b=11.339 c=3.981 alpha=90.00 beta=121.70 gamma=90.00
Space group Cm (No. 8)
One atom of each set of equivalent atoms:
Zn (0.000, 0.148, 0.000) (multiplicity 4)
Cu (0.000, 0.000, 0.500) (multiplicity 2)
Cu (0.209, 0.500, 0.709) (multiplicity 2)
Cu (0.212, 0.198, 0.711) (multiplicity 4)
Cu (0.216, 0.344, 0.216) (multiplicity 4)
Cu (0.430, 0.154, 0.429) (multiplicity 4)
Pt (0.414, 0.000, 0.915) (multiplicity 2)

Values from the calculation:
* D(E_F): 9.1 states/eV/cell
* size of the total moment: 0.0 μB per formula unit
* density: 9.60 g cm⁻³
* crystal system: monoclinic
* E_form: -0.020 eV per atom
* E above lowest polymorph: 0.00 eV/f.u.

---

Record 4
Below is CuPSe after structural relaxation, with properties calculated at the PBE-GGA level.

Unit cell a=3.589 b=3.589 c=8.526 alpha=90.00 beta=90.00 gamma=90.00
Space group P4/nmm (No. 129, origin choice 2)
One atom of each set of equivalent atoms:
Cu (0.250, 0.750, 0.000) (multiplicity 2)
P (0.250, 0.250, 0.216) (multiplicity 2)
Se (0.250, 0.250, 0.698) (multiplicity 2)

Values from the calculation:
* D(E_F): 3.1 states/eV/cell
* size of the total moment: 0.0 μB per formula unit
* density: 5.25 g cm⁻³
* crystal system: tetragonal
* uncorrected formation energy: 0.30 eV per atom

---

Record 5
Below is LiGaAu6 after structural relaxation, with properties calculated at the PBE-GGA level.

Unit cell a=4.407 b=4.407 c=13.993 alpha=90.00 beta=90.00 gamma=90.00
Space group I4/mmm (No. 139)
One atom of each set of equivalent atoms:
Li (0.000, 0.000, 0.000) (multiplicity 2)
Ga (0.000, 0.000, 0.500) (multiplicity 2)
Au (0.000, 0.000, 0.250) (multiplicity 4)
Au (0.000, 0.500, 0.112) (multiplicity 8)

Values from the calculation:
* D(E_F): 3.5 states/eV/cell
* size of the total moment: 0.0 μB per formula unit
* density: 15.38 g cm⁻³
* crystal system: tetragonal
* E_form: -0.216 eV per atom
* E above lowest polymorph: 0.00 eV/f.u.

---

Record 6
Below is TbTaRh2 after structural relaxation, with properties calculated at the PBE-GGA level.

Unit cell a=3.186 b=3.186 c=7.278 alpha=90.00 beta=90.00 gamma=90.00
Space group P4/mmm (No. 123)
One atom of each set of equivalent atoms:
Tb (0.000, 0.000, 0.000) (multiplicity 1)
Ta (0.000, 0.000, 0.500) (multiplicity 1)
Rh (0.500, 0.500, 0.294) (multiplicity 2)

Values from the calculation:
* D(E_F): 3.7 states/eV/cell
* size of the total moment: 0.0 μB per formula unit
* density: 12.26 g cm⁻³
* crystal system: tetragonal
* E_form: -0.590 eV per atom
* E above lowest polymorph: 0.00 eV/f.u.

---

Record 7
Below is LiCdSnF6 after structural relaxation, with properties calculated at the PBE-GGA level.

Unit cell a=5.4808 b=5.4808 c=4.8499 alpha=90.00 beta=90.00 gamma=120.00
Space group P312 (No. 149)
One atom of each set of equivalent atoms:
Li (0.0000, 0.0000, 0.0000) (multiplicity 1)
Cd (0.6667, 0.3333, 0.0000) (multiplicity 1)
Sn (0.3333, 0.6667, 0.5000) (multiplicity 1)
F (0.0197, 0.3323, 0.2430) (multiplicity 6)

Values from the calculation:
* D(E_F): 3.1 states/eV/cell
* size of the total moment: 0.0 μB per formula unit
* density: 4.63 g cm⁻³
* crystal system: trigonal
* uncorrected formation energy: -2.38 eV per atom

---

Record 8
Below is CrGe2MoIr after structural relaxation, with properties calculated at the PBE-GGA level.

Unit cell a=4.491 b=4.491 c=4.411 alpha=90.00 beta=90.00 gamma=90.00
Space group P4/mmm (No. 123)
One atom of each set of equivalent atoms:
Cr (0.000, 0.000, 0.000) (multiplicity 1)
Ge (0.000, 0.500, 0.000) (multiplicity 2)
Mo (0.000, 0.000, 0.500) (multiplicity 1)
Ir (0.500, 0.500, 0.500) (multiplicity 1)

Values from the calculation:
* D(E_F): 6.7 states/eV/cell
* size of the total moment: 0.0 μB per formula unit
* density: 9.06 g cm⁻³
* crystal system: tetragonal
* E_form: 1.100 eV per atom

---

Record 9
Below is RbAu3 after structural relaxation, with properties calculated at the PBE-GGA level.

Unit cell a=4.358 b=4.358 c=12.082 alpha=90.00 beta=90.00 gamma=90.00
Space group I4/mmm (No. 139)
One atom of each set of equivalent atoms:
Rb (0.000, 0.000, 0.000) (multiplicity 2)
Au (0.000, 0.000, 0.279) (multiplicity 4)
Au (0.000, 0.000, 0.500) (multiplicity 2)

Values from the calculation:
* D(E_F): 1.9 states/eV/cell
* size of the total moment: 0.0 μB per formula unit
* density: 9.79 g cm⁻³
* crystal system: tetragonal
* E_form: 0.210 eV per atom
* E above lowest polymorph: 1.59 eV/f.u.

---

Record 10
Below is Pa2Ir2Au after structural relaxation, with properties calculated at the PBE-GGA level.

Unit cell a=7.635 b=7.635 c=3.598 alpha=90.00 beta=90.00 gamma=90.00
Space group P4/mbm (No. 127)
One atom of each set of equivalent atoms:
Pa (0.170, 0.330, 0.000) (multiplicity 4)
Ir (0.134, 0.634, 0.500) (multiplicity 4)
Au (0.000, 0.000, 0.500) (multiplicity 2)

Values from the calculation:
* D(E_F): 11.4 states/eV/cell
* size of the total moment: 0.0 μB per formula unit
* density: 16.52 g cm⁻³
* crystal system: tetragonal
* E_form: -0.772 eV per atom

---

Record 11
Below is NdSmAs after structural relaxation, with properties calculated at the PBE-GGA level.

Unit cell a=4.0795 b=4.0795 c=6.7088 alpha=90.00 beta=90.00 gamma=120.00
Space group P3m1 (No. 156)
One atom of each set of equivalent atoms:
Nd (0.0000, 0.0000, 0.0000) (multiplicity 1)
Sm (0.6667, 0.3333, 0.4846) (multiplicity 1)
As (0.3333, 0.6667, 0.7377) (multiplicity 1)

Values from the calculation:
* D(E_F): 2.4 states/eV/cell
* size of the total moment: 1.1 μB per formula unit
* density: 6.35 g cm⁻³
* crystal system: trigonal
* E_form: -0.853 eV per atom

---

Record 12
Below is Pm5Ho3Tm3 after structural relaxation, with properties calculated at the PBE-GGA level.

Unit cell a=11.1354 b=11.1354 c=3.4586 alpha=90.00 beta=90.00 gamma=120.00
Space group P-62m (No. 189)
One atom of each set of equivalent atoms:
Pm (0.0000, 0.1619, 0.0000) (multiplicity 3)
Pm (0.3333, 0.6667, 0.0000) (multiplicity 2)
Ho (0.0000, 0.4067, 0.5000) (multiplicity 3)
Tm (0.0000, 0.6577, 0.0000) (multiplicity 3)

Values from the calculation:
* D(E_F): 18.8 states/eV/cell
* size of the total moment: 0.0 μB per formula unit
* density: 7.72 g cm⁻³
* crystal system: hexagonal
* E_form: 0.352 eV per atom
* E above lowest polymorph: 0.30 eV/f.u.